This record from the Alexandria database describes an optimized crystal structure of SrReMo2O8. The functional is PBE with a Hubbard U.

Values from the calculation:
Symmetry = No. 10
Magnetic moment = 5.01 μB per formula unit
Energy = -7.4655 eV per atom

Unit cell a=4.8484 b=6.7057 c=4.8517 alpha=90.00 beta=92.35 gamma=90.00
Closest atoms and distances in Å follow each position.
Positions (direct):
Sr 0.0000 0.0000 0.0000  6 O 2.31-2.44
Re 0.0000 0.5000 0.0000  6 O 1.92-1.98
Mo 0.5000 0.2477 0.5000  4 O 2.01-2.04
Mo 0.5000 0.7523 0.5000  4 O 2.01-2.04
O 0.2062 0.3008 0.2050  1 Re 1.92, 1 Mo 2.01
O 0.2062 0.6992 0.2050  1 Re 1.92, 1 Mo 2.01
O 0.2818 0.5000 0.7172  1 Re 1.98
O 0.3292 0.0000 0.6683  2 Mo 2.04
O 0.6708 0.0000 0.3317  2 Mo 2.04
O 0.7182 0.5000 0.2828  1 Re 1.98
O 0.7938 0.3008 0.7950  1 Re 1.92, 1 Mo 2.01
O 0.7938 0.6992 0.7950  1 Re 1.92, 1 Mo 2.01



This record from the Alexandria database describes an optimized crystal structure of TaReMo2O. The functional is PBE with a Hubbard U.

Values from the calculation:
Symmetry = No. 123
Magnetic moment = 1.05 μB per formula unit
Energy = -8.4237 eV per atom

Unit cell a=4.1727 b=4.1727 c=4.1913 alpha=90.00 beta=90.00 gamma=90.00
Closest atoms and distances in Å follow each position.
Positions (direct):
Ta 0.0000 0.0000 0.0000  2 O 2.10
Re 0.5000 0.5000 0.0000  4 Ta 2.95, 8 Mo 2.96
Mo 0.0000 0.5000 0.5000  2 O 2.09
Mo 0.5000 0.0000 0.5000  2 O 2.09
O 0.0000 0.0000 0.5000  4 Mo 2.09, 2 Ta 2.10



magnetic moment of number 1 (SrReMo2O8)?
5.01 μB per formula unit



Look up the magnetic moment of the first one.
5.01 μB per formula unit